Record 1
{"formula": "Ac6POs2Br3", "functional": "PBE", "state": "relaxed", "magmom_total_mub_per_cell": 0.00, "e_form_raw_ev_per_atom": -0.974, "dos_at_fermi_per_ev_cell": 10.3, "cell": [[-6.956, 3.022, 0.948], [1.987, -2.962, -6.760], [-1.167, -7.245, 4.270]], "species": ["Ac", "Ac", "Ac", "Ac", "Ac", "Ac", "Os", "Os", "Br", "Br", "Br", "P"], "frac_coords": [[0.588, 0.935, 0.803], [0.282, 0.282, 0.804], [0.718, 0.718, 0.196], [0.412, 0.065, 0.197], [0.065, 0.412, 0.197], [0.935, 0.588, 0.803], [0.667, 0.333, 0.000], [0.333, 0.667, 0.000], [0.835, 0.165, 0.500], [0.165, 0.835, 0.500], [0.500, 0.500, 0.500], [0.000, 0.000, 0.000]]}



Record 2
{"formula": "Ac8POs3Br4", "functional": "PBE", "state": "relaxed", "magmom_total_mub_per_cell": 0.00, "e_form_raw_ev_per_atom": -0.900, "dos_at_fermi_per_ev_cell": 11.5, "cell": [[-1.729, 8.573, -0.985], [-5.985, -2.034, -7.195], [-1.492, -3.930, 7.732]], "species": ["Os", "Os", "Os", "Ac", "Ac", "Ac", "Ac", "Ac", "Ac", "Ac", "Ac", "P", "Br", "Br", "Br", "Br"], "frac_coords": [[0.500, 0.500, 0.000], [0.500, 0.500, 0.500], [0.000, 0.500, 0.500], [0.734, 0.702, 0.468], [0.719, 0.693, 0.956], [0.763, 0.307, 0.044], [0.237, 0.693, 0.956], [0.266, 0.298, 0.532], [0.237, 0.693, 0.474], [0.281, 0.307, 0.044], [0.763, 0.307, 0.526], [0.000, 0.500, 0.000], [0.000, 0.000, 0.500], [0.500, 0.000, 0.000], [0.000, 0.000, 0.000], [0.500, 0.000, 0.500]]}



Record 3
{"formula": "Ac6Os2PbBr3", "functional": "PBE", "state": "relaxed", "magmom_total_mub_per_cell": 0.00, "e_form_raw_ev_per_atom": -0.811, "dos_at_fermi_per_ev_cell": 8.1, "cell": [[4.457, 0.000, 0.000], [0.000, 9.738, 0.039], [-2.228, -3.120, 9.994]], "species": ["Ac", "Ac", "Ac", "Ac", "Ac", "Ac", "Br", "Br", "Br", "Pb", "Os", "Os"], "frac_coords": [[0.318, 0.441, 0.636], [0.668, 0.137, 0.336], [0.332, 0.863, 0.664], [0.972, 0.738, 0.944], [0.028, 0.262, 0.056], [0.682, 0.559, 0.364], [0.500, 0.500, 0.000], [0.833, 0.155, 0.666], [0.167, 0.845, 0.334], [0.500, 0.000, 0.000], [0.169, 0.342, 0.338], [0.831, 0.658, 0.662]]}



Record 4
{"formula": "Ac8Os3PdBr4", "functional": "PBE", "state": "relaxed", "magmom_total_mub_per_cell": 0.00, "e_form_raw_ev_per_atom": -0.846, "dos_at_fermi_per_ev_cell": 6.9, "cell": [[-6.242, -3.704, -4.830], [5.801, 0.297, -7.725], [3.061, -4.098, 7.055]], "species": ["Ac", "Ac", "Ac", "Ac", "Ac", "Ac", "Ac", "Ac", "Os", "Os", "Os", "Br", "Br", "Br", "Br", "Pd"], "frac_coords": [[0.268, 0.304, 0.536], [0.732, 0.696, 0.464], [0.762, 0.305, 0.042], [0.762, 0.305, 0.524], [0.238, 0.695, 0.958], [0.720, 0.695, 0.958], [0.238, 0.695, 0.476], [0.280, 0.305, 0.042], [0.000, 0.500, 0.500], [0.500, 0.500, 0.500], [0.500, 0.500, 0.000], [0.500, 0.000, 0.500], [0.000, 0.000, 0.500], [0.500, 0.000, 0.000], [0.000, 0.000, 0.000], [0.000, 0.500, 0.000]]}



Record 5
{"formula": "Ac4OsPdBr2", "functional": "PBE", "state": "relaxed", "magmom_total_mub_per_cell": 0.00, "e_form_raw_ev_per_atom": -0.967, "dos_at_fermi_per_ev_cell": 2.1, "cell": [[4.389, 0.000, 0.000], [0.000, 7.577, 0.144], [0.000, -2.655, 8.239]], "species": ["Pd", "Ac", "Ac", "Ac", "Ac", "Br", "Br", "Os"], "frac_coords": [[0.000, 0.000, 0.000], [0.000, 0.720, 0.197], [0.500, 0.756, 0.804], [0.000, 0.280, 0.803], [0.500, 0.244, 0.196], [0.500, 0.000, 0.500], [0.000, 0.500, 0.500], [0.500, 0.500, 0.000]]}



Record 6
{"formula": "Ac8OsPd3Br4", "functional": "PBE", "state": "relaxed", "magmom_total_mub_per_cell": 0.00, "e_form_raw_ev_per_atom": -1.039, "dos_at_fermi_per_ev_cell": 10.4, "cell": [[-6.483, 4.294, 4.190], [-3.281, -8.439, 3.572], [8.434, 2.046, 1.642]], "species": ["Br", "Br", "Br", "Br", "Pd", "Pd", "Pd", "Ac", "Ac", "Ac", "Ac", "Ac", "Ac", "Ac", "Ac", "Os"], "frac_coords": [[0.000, 0.000, 0.000], [0.500, 0.000, 0.000], [0.500, 0.000, 0.500], [0.000, 0.000, 0.500], [0.500, 0.500, 0.000], [0.000, 0.500, 0.500], [0.500, 0.500, 0.500], [0.773, 0.303, 0.029], [0.256, 0.303, 0.029], [0.733, 0.697, 0.465], [0.773, 0.303, 0.546], [0.267, 0.303, 0.535], [0.227, 0.697, 0.454], [0.227, 0.697, 0.971], [0.744, 0.697, 0.971], [0.000, 0.500, 0.000]]}



Record 7
{"formula": "Ac8Os3PtBr4", "functional": "PBE", "state": "relaxed", "magmom_total_mub_per_cell": 0.00, "e_form_raw_ev_per_atom": -0.897, "dos_at_fermi_per_ev_cell": 7.0, "cell": [[8.724, 0.000, 0.000], [0.000, 9.625, 0.631], [-4.362, -4.361, 6.169]], "species": ["Ac", "Ac", "Ac", "Ac", "Ac", "Ac", "Ac", "Ac", "Br", "Br", "Br", "Br", "Pt", "Os", "Os", "Os"], "frac_coords": [[0.237, 0.694, 0.473], [0.732, 0.696, 0.464], [0.237, 0.694, 0.958], [0.763, 0.306, 0.042], [0.278, 0.306, 0.042], [0.763, 0.306, 0.527], [0.268, 0.304, 0.536], [0.722, 0.694, 0.958], [0.500, 0.000, 0.500], [0.000, 0.000, 0.000], [0.500, 0.000, 0.000], [0.000, 0.000, 0.500], [0.000, 0.500, 0.000], [0.500, 0.500, 0.000], [0.500, 0.500, 0.500], [0.000, 0.500, 0.500]]}



Record 8
{"formula": "Ac8OsPt3Br4", "functional": "PBE", "state": "relaxed", "magmom_total_mub_per_cell": 0.00, "e_form_raw_ev_per_atom": -1.223, "dos_at_fermi_per_ev_cell": 9.3, "cell": [[-4.511, 5.204, -5.534], [1.293, -6.453, -7.121], [-3.807, -2.903, 7.425]], "species": ["Br", "Br", "Br", "Br", "Ac", "Ac", "Ac", "Ac", "Ac", "Ac", "Ac", "Ac", "Pt", "Pt", "Pt", "Os"], "frac_coords": [[0.500, 0.000, 0.000], [0.500, 0.000, 0.500], [0.000, 0.000, 0.000], [0.000, 0.000, 0.500], [0.732, 0.696, 0.464], [0.741, 0.695, 0.968], [0.259, 0.305, 0.032], [0.773, 0.305, 0.545], [0.773, 0.305, 0.032], [0.268, 0.304, 0.536], [0.227, 0.695, 0.455], [0.227, 0.695, 0.968], [0.500, 0.500, 0.000], [0.000, 0.500, 0.500], [0.500, 0.500, 0.500], [0.000, 0.500, 0.000]]}



Record 9
{"formula": "Ac4OsPtBr2", "functional": "PBE", "state": "relaxed", "magmom_total_mub_per_cell": 0.00, "e_form_raw_ev_per_atom": -1.077, "dos_at_fermi_per_ev_cell": 2.3, "cell": [[-1.444, 4.102, -0.599], [-6.221, -2.690, -3.421], [-1.811, 0.590, 8.403]], "species": ["Pt", "Ac", "Ac", "Ac", "Ac", "Br", "Br", "Os"], "frac_coords": [[0.000, 0.000, 0.000], [0.500, 0.759, 0.806], [0.000, 0.722, 0.196], [0.000, 0.278, 0.804], [0.500, 0.241, 0.194], [0.500, 0.000, 0.500], [0.000, 0.500, 0.500], [0.500, 0.500, 0.000]]}



Record 10
{"formula": "Ac8Os3PtBr3", "functional": "PBE", "state": "relaxed", "magmom_total_mub_per_cell": 0.36, "e_form_raw_ev_per_atom": -0.732, "dos_at_fermi_per_ev_cell": 7.7, "cell": [[8.775, 0.000, 0.000], [-4.387, 7.600, -0.030], [0.000, -5.039, 8.113]], "species": ["Br", "Br", "Br", "Os", "Os", "Os", "Ac", "Ac", "Ac", "Ac", "Ac", "Ac", "Ac", "Ac", "Pt"], "frac_coords": [[0.000, 0.500, 0.000], [0.500, 0.500, 0.000], [0.000, 0.000, 0.000], [0.500, 0.500, 0.500], [0.500, 0.000, 0.500], [0.000, 0.500, 0.500], [0.732, 0.465, 0.697], [0.721, 0.958, 0.694], [0.279, 0.042, 0.306], [0.763, 0.042, 0.306], [0.236, 0.473, 0.694], [0.237, 0.958, 0.694], [0.268, 0.535, 0.303], [0.764, 0.527, 0.306], [0.000, 0.000, 0.500]]}



Record 11
{"formula": "Ac8OsRh3Br3", "functional": "PBE", "state": "relaxed", "magmom_total_mub_per_cell": 0.27, "e_form_raw_ev_per_atom": -0.916, "dos_at_fermi_per_ev_cell": 6.7, "cell": [[-0.338, -7.901, -3.609], [-1.827, 1.005, 8.441], [-6.604, 3.156, -6.291]], "species": ["Ac", "Ac", "Ac", "Ac", "Ac", "Ac", "Ac", "Ac", "Rh", "Rh", "Rh", "Os", "Br", "Br", "Br"], "frac_coords": [[0.229, 0.966, 0.694], [0.771, 0.034, 0.306], [0.737, 0.966, 0.694], [0.229, 0.458, 0.694], [0.771, 0.542, 0.306], [0.263, 0.034, 0.306], [0.732, 0.463, 0.693], [0.268, 0.537, 0.307], [0.500, 0.000, 0.500], [0.000, 0.500, 0.500], [0.500, 0.500, 0.500], [0.000, 0.000, 0.500], [0.000, 0.000, 0.000], [0.000, 0.500, 0.000], [0.500, 0.500, 0.000]]}



Record 12
{"formula": "Ac6OsRh2Br2", "functional": "PBE", "state": "relaxed", "magmom_total_mub_per_cell": 0.34, "e_form_raw_ev_per_atom": -0.825, "dos_at_fermi_per_ev_cell": 5.1, "cell": [[-5.285, -3.468, -4.125], [5.576, -3.994, 3.153], [-4.636, 1.423, 7.021]], "species": ["Ac", "Ac", "Ac", "Ac", "Ac", "Ac", "Br", "Br", "Os", "Rh", "Rh"], "frac_coords": [[0.606, 0.936, 0.305], [0.936, 0.606, 0.305], [0.737, 0.737, 0.695], [0.064, 0.394, 0.695], [0.394, 0.064, 0.695], [0.263, 0.263, 0.305], [0.164, 0.836, 0.000], [0.836, 0.164, 0.000], [0.000, 0.000, 0.500], [0.669, 0.331, 0.500], [0.331, 0.669, 0.500]]}